VASP calculation (PBE) on a geometry-optimized La4SbPBr2 structure.

a = 7.6937 Å, b = 4.3839 Å, c = 7.7661 Å
α = 90.00°, β = 109.26°, γ = 90.00°
With the nearest neighbours (Å) after each atom.
Element x y z (fractional)
1 La 0.2158 0.0000 0.2146  2 P 2.92, 1 Br 3.16, 1 Sb 3.18
2 La 0.2293 0.5000 0.7734  1 P 2.87, 2 Br 3.13, 2 Sb 3.16
3 La 0.7707 0.5000 0.2266  1 P 2.87, 2 Br 3.13, 2 Sb 3.16
4 La 0.7842 0.0000 0.7854  2 P 2.92, 1 Br 3.16, 1 Sb 3.18
5 Sb 0.0000 0.0000 0.5000  6 La 3.16-3.18
6 P 0.0000 0.5000 0.0000  6 La 2.87-2.92
7 Br 0.5000 0.0000 0.0000  6 La 3.13-3.16
8 Br 0.5000 0.5000 0.5000  6 La 3.36-3.43

Output
For the total energy, the calculation gives -5.53 eV/atom. The crystal system is monoclinic. The value obtained for the formation energy without anion corrections is -1.459 eV per atom. The calculation puts the mass density at 5.8 g/cm3.

---

VASP calculation (PBE) on a geometry-optimized Tc2Rh2W structure.

a = 7.4657 Å, b = 7.4657 Å, c = 2.7186 Å
α = 90.00°, β = 90.00°, γ = 90.00°
With the nearest neighbours (Å) after each atom.
Element x y z (fractional)
1 Tc 0.1749 0.3251 0.0000  6 Rh 2.53-2.63, 2 Tc 2.72
2 Tc 0.3251 0.8251 0.0000  6 Rh 2.53-2.63, 2 Tc 2.72
3 Tc 0.6749 0.1749 0.0000  6 Rh 2.53-2.63, 2 Tc 2.72
4 Tc 0.8251 0.6749 0.0000  6 Rh 2.53-2.63, 2 Tc 2.72
5 Rh 0.1225 0.6225 0.5000  6 Tc 2.53-2.63, 3 Rh 2.59-2.72
6 Rh 0.3775 0.1225 0.5000  6 Tc 2.53-2.63, 3 Rh 2.59-2.72
7 Rh 0.6225 0.8775 0.5000  6 Tc 2.53-2.63, 3 Rh 2.59-2.72
8 Rh 0.8775 0.3775 0.5000  6 Tc 2.53-2.63, 3 Rh 2.59-2.72
9 W 0.0000 0.0000 0.5000  2 W 2.72, 4 Rh 2.96
10 W 0.5000 0.5000 0.5000  2 W 2.72, 4 Rh 2.96

Output
For the energy above the most stable polymorph in this dataset, the calculation gives 0 meV per atom. For the total energy, the calculation gives -9.48 eV/atom. The crystal system is tetragonal. For the energy relative to the elements, the calculation gives 0.20 eV per atom. The calculation puts the mass density at 12.8 g/cm3.

---

VASP calculation (PBE) on a geometry-optimized LaSc4Ir structure.

a = 5.8106 Å, b = 5.8106 Å, c = 5.8106 Å
α = 60.00°, β = 60.00°, γ = 60.00°
With the nearest neighbours (Å) after each atom.
Element x y z (fractional)
1 La 0.0000 0.0000 0.0000  12 Sc 3.41, 4 Ir 3.56
2 Sc 0.1289 0.6237 0.6237  6 Sc 2.88-2.94
3 Sc 0.6237 0.1289 0.6237  6 Sc 2.88-2.94
4 Sc 0.6237 0.6237 0.1289  6 Sc 2.88-2.94
5 Sc 0.6237 0.6237 0.6237  6 Sc 2.88-2.94
6 Ir 0.2500 0.2500 0.2500  12 Sc 3.40, 4 La 3.56

Output
For the total energy, the calculation gives -6.19 eV/atom. The crystal system is cubic. For the energy relative to the elements, the calculation gives 0.33 eV per atom. The calculation puts the mass density at 6.1 g/cm3.

---

VASP calculation (PBE) on a geometry-optimized HfTi2Ga structure.

a = 3.0960 Å, b = 20.7130 Å, c = 4.4963 Å
α = 90.00°, β = 90.00°, γ = 90.00°
With the nearest neighbours (Å) after each atom.
Element x y z (fractional)
1 Hf 0.0000 0.1046 0.2500  4 Ga 2.93, 8 Ti 3.08-3.19, 2 Hf 3.10
2 Hf 0.0000 0.8954 0.7500  4 Ga 2.93, 8 Ti 3.08-3.19, 2 Hf 3.10
3 Hf 0.5000 0.3954 0.7500  4 Ga 2.93, 8 Ti 3.08-3.19, 2 Hf 3.10
4 Hf 0.5000 0.6046 0.2500  4 Ga 2.93, 8 Ti 3.08-3.19, 2 Hf 3.10
5 Ti 0.0000 0.2667 0.7500  4 Ga 2.76, 4 Ti 2.82, 2 Hf 3.08
6 Ti 0.0000 0.4748 0.2500  2 Ti 2.48, 1 Ga 2.72
7 Ti 0.0000 0.5252 0.7500  2 Ti 2.48, 1 Ga 2.72
8 Ti 0.0000 0.7333 0.2500  4 Ga 2.76, 4 Ti 2.82, 2 Hf 3.08
9 Ti 0.5000 0.0252 0.7500  2 Ti 2.48, 1 Ga 2.72
10 Ti 0.5000 0.2333 0.2500  4 Ga 2.76, 4 Ti 2.82, 2 Hf 3.08
11 Ti 0.5000 0.7667 0.7500  4 Ga 2.76, 4 Ti 2.82, 2 Hf 3.08
12 Ti 0.5000 0.9748 0.2500  2 Ti 2.48, 1 Ga 2.72
13 Ga 0.0000 0.3436 0.2500  5 Ti 2.72-2.76, 4 Hf 2.93
14 Ga 0.0000 0.6564 0.7500  5 Ti 2.72-2.76, 4 Hf 2.93
15 Ga 0.5000 0.1564 0.7500  5 Ti 2.72-2.76, 4 Hf 2.93
16 Ga 0.5000 0.8436 0.2500  5 Ti 2.72-2.76, 4 Hf 2.93

Output
For the total energy, the calculation gives -7.42 eV/atom. The crystal system is orthorhombic. For the energy relative to the elements, the calculation gives -0.23 eV per atom. The calculation puts the mass density at 7.9 g/cm3.

---

VASP calculation (PBE) on a geometry-optimized Ce2MnAu structure.

a = 3.3116 Å, b = 3.3116 Å, c = 7.8018 Å
α = 90.00°, β = 90.00°, γ = 90.00°
With the nearest neighbours (Å) after each atom.
Element x y z (fractional)
1 Ce 0.0000 0.0000 0.2166  4 Mn 2.89, 4 Au 3.22
2 Ce 0.0000 0.0000 0.7834  4 Mn 2.89, 4 Au 3.22
3 Mn 0.5000 0.5000 0.0000  8 Ce 2.89
4 Au 0.5000 0.5000 0.5000  8 Ce 3.22, 4 Au 3.31

Output
For the total energy, the calculation gives -6.23 eV/atom. The crystal system is tetragonal. For the energy relative to the elements, the calculation gives -0.15 eV per atom. The calculation puts the mass density at 10.3 g/cm3.

---

VASP calculation (PBE) on a geometry-optimized LiNdAl2Au2 structure.

a = 4.4735 Å, b = 4.4735 Å, c = 6.8527 Å
α = 90.00°, β = 90.00°, γ = 120.00°
With the nearest neighbours (Å) after each atom.
Element x y z (fractional)
1 Li 0.0000 0.0000 0.0000  6 Al 2.85, 6 Au 2.98
2 Nd 0.0000 0.0000 0.5000  6 Au 3.23, 6 Al 3.41, 2 Li 3.43
3 Al 0.3333 0.6667 0.1760  4 Au 2.60-2.70, 3 Li 2.85
4 Al 0.6667 0.3333 0.8240  4 Au 2.60-2.70, 3 Li 2.85
5 Au 0.3333 0.6667 0.7819  4 Al 2.60-2.70
6 Au 0.6667 0.3333 0.2181  4 Al 2.60-2.70

Output
For the total energy, the calculation gives -4.11 eV/atom. The crystal system is trigonal. For the energy relative to the elements, the calculation gives -0.66 eV per atom. The calculation puts the mass density at 8.4 g/cm3.

---

VASP calculation (PBE) on a geometry-optimized Ce3Cd7Au4 structure.

a = 8.7081 Å, b = 8.7081 Å, c = 10.2478 Å
α = 122.37°, β = 122.37°, γ = 30.74°
With the nearest neighbours (Å) after each atom.
Element x y z (fractional)
1 Ce 0.0000 0.0000 0.0000  6 Au 3.36-3.43, 6 Cd 3.63-3.68
2 Ce 0.2980 0.2980 0.2905  4 Au 3.21-3.23, 8 Cd 3.36-3.52
3 Ce 0.7020 0.7020 0.7095  4 Au 3.21-3.23, 8 Cd 3.36-3.52
4 Cd 0.0000 0.0000 0.5000  2 Au 2.82, 6 Cd 3.04
5 Cd 0.1545 0.1545 0.4311  3 Au 2.88-2.95, 3 Cd 3.04-3.09
6 Cd 0.3289 0.3289 0.9879  4 Au 2.74-2.89, 1 Cd 3.01
7 Cd 0.4924 0.4924 0.6861  3 Au 2.82-2.95, 5 Cd 3.01-3.09
8 Cd 0.5076 0.5076 0.3139  3 Au 2.82-2.95, 5 Cd 3.01-3.09
9 Cd 0.6711 0.6711 0.0121  4 Au 2.74-2.89, 1 Cd 3.01
10 Cd 0.8455 0.8455 0.5689  3 Au 2.88-2.95, 3 Cd 3.04-3.09
11 Au 0.1231 0.1231 0.8307  6 Cd 2.79-2.95
12 Au 0.3426 0.3426 0.7336  5 Cd 2.74-2.95
13 Au 0.6574 0.6574 0.2664  5 Cd 2.74-2.95
14 Au 0.8769 0.8769 0.1693  6 Cd 2.79-2.95

Output
For the total energy, the calculation gives -3.04 eV/atom. The crystal system is monoclinic. For the energy relative to the elements, the calculation gives -0.38 eV per atom. The calculation puts the mass density at 10.0 g/cm3.

---

VASP calculation (PBE) on a geometry-optimized La3Tb5Pr2 structure.

a = 10.1291 Å, b = 10.1291 Å, c = 9.2013 Å
α = 108.19°, β = 108.19°, γ = 115.58°
With the nearest neighbours (Å) after each atom.
Element x y z (fractional)
1 La 0.0217 0.2711 0.0443  1 Pr 3.12, 3 Tb 3.40-3.44
2 La 0.2286 0.7714 0.7500  4 Pr 3.37-3.64, 1 Tb 3.45, 2 La 3.57
3 La 0.2711 0.0217 0.5443  1 Pr 3.12, 3 Tb 3.40-3.44
4 La 0.7289 0.9783 0.4557  1 Pr 3.12, 3 Tb 3.40-3.44
5 La 0.7714 0.2286 0.2500  4 Pr 3.37-3.64, 1 Tb 3.45, 2 La 3.57
6 La 0.9783 0.7289 0.9557  1 Pr 3.12, 3 Tb 3.40-3.44
7 Tb 0.0274 0.9726 0.7500  5 La 3.41-3.52, 2 Pr 3.51, 2 Tb 3.63
8 Tb 0.1381 0.3681 0.7578  2 Pr 3.43-3.49, 3 La 3.44-3.81, 2 Tb 3.63-3.68
9 Tb 0.2762 0.7238 0.2500  1 Tb 3.31, 4 La 3.40-3.55, 2 Pr 3.60
10 Tb 0.3681 0.1381 0.2578  2 Pr 3.43-3.49, 3 La 3.44-3.81, 2 Tb 3.63-3.68
11 Tb 0.4693 0.5307 0.2500  3 Tb 3.31-3.68, 4 Pr 3.36-3.48, 2 La 3.51
12 Tb 0.5307 0.4693 0.7500  3 Tb 3.31-3.68, 4 Pr 3.36-3.48, 2 La 3.51
13 Tb 0.6319 0.8619 0.7422  2 Pr 3.43-3.49, 3 La 3.44-3.81, 2 Tb 3.63-3.68
14 Tb 0.7238 0.2762 0.7500  1 Tb 3.31, 4 La 3.40-3.55, 2 Pr 3.60
15 Tb 0.8619 0.6319 0.2422  2 Pr 3.43-3.49, 3 La 3.44-3.81, 2 Tb 3.63-3.68
16 Tb 0.9726 0.0274 0.2500  5 La 3.41-3.52, 2 Pr 3.51, 2 Tb 3.63
17 Pr 0.2357 0.4755 0.4622  2 La 3.12-3.37, 4 Tb 3.36-3.49
18 Pr 0.4755 0.2357 0.9622  2 La 3.12-3.37, 4 Tb 3.36-3.49
19 Pr 0.5245 0.7643 0.0378  2 La 3.12-3.37, 4 Tb 3.36-3.49
20 Pr 0.7643 0.5245 0.5378  2 La 3.12-3.37, 4 Tb 3.36-3.49

Output
For the total energy, the calculation gives -4.58 eV/atom. The crystal system is monoclinic. For the energy relative to the elements, the calculation gives 0.17 eV per atom. The calculation puts the mass density at 7.2 g/cm3.

---

VASP calculation (PBE) on a geometry-optimized Nd2InSi structure.

a = 6.9263 Å, b = 4.5487 Å, c = 13.9354 Å
α = 90.00°, β = 90.00°, γ = 90.00°
With the nearest neighbours (Å) after each atom.
Element x y z (fractional)
1 Nd 0.0000 0.0000 0.0000  4 In 3.17, 4 Si 3.23
2 Nd 0.0000 0.0000 0.2566  4 Si 3.09, 2 In 3.27
3 Nd 0.0000 0.5000 0.5000  4 In 3.17, 4 Si 3.23
4 Nd 0.0000 0.5000 0.7566  4 Si 3.09, 2 In 3.27
5 Nd 0.5000 0.0000 0.0972  4 Si 3.21, 4 In 3.47
6 Nd 0.5000 0.0000 0.8044  2 Si 3.20, 4 In 3.28
7 Nd 0.5000 0.5000 0.3044  2 Si 3.20, 4 In 3.28
8 Nd 0.5000 0.5000 0.5972  4 Si 3.21, 4 In 3.47
9 In 0.2951 0.0000 0.4395  1 In 2.84, 1 Si 2.86, 2 Nd 3.17
10 In 0.2951 0.5000 0.9395  1 In 2.84, 1 Si 2.86, 2 Nd 3.17
11 In 0.7049 0.0000 0.4395  1 In 2.84, 1 Si 2.86, 2 Nd 3.17
12 In 0.7049 0.5000 0.9395  1 In 2.84, 1 Si 2.86, 2 Nd 3.17
13 Si 0.1833 0.0000 0.6368  1 Si 2.54
14 Si 0.1833 0.5000 0.1368  1 Si 2.54
15 Si 0.8167 0.0000 0.6368  1 Si 2.54
16 Si 0.8167 0.5000 0.1368  1 Si 2.54

Output
For the total energy, the calculation gives -5.00 eV/atom. The crystal system is orthorhombic. The value obtained for the formation energy without anion corrections is -0.579 eV per atom. The calculation puts the mass density at 6.5 g/cm3.

---

VASP calculation (PBE) on a geometry-optimized KZrClO2 structure.

a = 4.1815 Å, b = 4.1815 Å, c = 5.3167 Å
α = 90.00°, β = 90.00°, γ = 90.00°
With the nearest neighbours (Å) after each atom.
Element x y z (fractional)
1 K 0.0000 0.0000 0.0000  4 Cl 2.96
2 Zr 0.5000 0.5000 0.5000  4 O 2.09
3 Cl 0.5000 0.5000 0.0000  2 Zr 2.66, 4 K 2.96
4 O 0.0000 0.5000 0.5000  2 Zr 2.09
5 O 0.5000 0.0000 0.5000  2 Zr 2.09

Output
For the total energy, the calculation gives -6.68 eV/atom. The crystal system is tetragonal. The value obtained for the formation energy without anion corrections is -2.394 eV per atom. The calculation puts the mass density at 3.5 g/cm3.

---

VASP calculation (PBE) on a geometry-optimized Li3Dy2ErS6 structure.

a = 6.7578 Å, b = 6.7578 Å, c = 6.5687 Å
α = 99.87°, β = 99.87°, γ = 120.00°
With the nearest neighbours (Å) after each atom.
Element x y z (fractional)
1 Li 0.0000 0.0000 0.0000  6 S 2.72-2.74
2 Li 0.3341 0.6659 0.0000  6 S 2.72-2.75
3 Li 0.6659 0.3341 0.0000  6 S 2.72-2.75
4 Dy 0.1667 0.8333 0.5000  6 S 2.74
5 Dy 0.8333 0.1667 0.5000  6 S 2.74
6 Er 0.5000 0.5000 0.5000  6 S 2.72
7 S 0.0855 0.4166 0.2499  1 Er 2.72, 3 Li 2.72-2.75, 2 Dy 2.74
8 S 0.2521 0.2521 0.7496  1 Er 2.72, 3 Li 2.72-2.74, 2 Dy 2.74
9 S 0.4166 0.0855 0.2499  1 Er 2.72, 3 Li 2.72-2.75, 2 Dy 2.74
10 S 0.5834 0.9145 0.7501  1 Er 2.72, 3 Li 2.72-2.75, 2 Dy 2.74
11 S 0.7479 0.7479 0.2504  1 Er 2.72, 3 Li 2.72-2.74, 2 Dy 2.74
12 S 0.9145 0.5834 0.7501  1 Er 2.72, 3 Li 2.72-2.75, 2 Dy 2.74

Output
For the total energy, the calculation gives -5.54 eV/atom. The crystal system is monoclinic. The value obtained for the formation energy without anion corrections is -1.853 eV per atom. The calculation puts the mass density at 4.8 g/cm3.

---

VASP calculation (PBE) on a geometry-optimized NaAgSb structure.

a = 3.9343 Å, b = 3.9343 Å, c = 9.1214 Å
α = 90.00°, β = 90.00°, γ = 90.00°
With the nearest neighbours (Å) after each atom.
Element x y z (fractional)
1 Na 0.0000 0.0000 0.0000  5 Sb 2.98-3.20, 5 Ag 2.99-3.20
2 Na 0.5000 0.5000 0.5000  5 Sb 2.98-3.20, 5 Ag 2.99-3.20
3 Ag 0.0000 0.0000 0.6727  5 Na 2.99-3.20, 5 Sb 3.12-3.16
4 Ag 0.5000 0.5000 0.1727  5 Na 2.99-3.20, 5 Sb 3.12-3.16
5 Sb 0.0000 0.0000 0.3264  5 Na 2.98-3.20, 5 Ag 3.12-3.16
6 Sb 0.5000 0.5000 0.8264  5 Na 2.98-3.20, 5 Ag 3.12-3.16

Output
For the energy above the most stable polymorph in this dataset, the calculation gives 162 meV per atom. For the total energy, the calculation gives -2.84 eV/atom. The crystal system is tetragonal. The value obtained for the formation energy without anion corrections is -0.081 eV per atom. The calculation puts the mass density at 5.9 g/cm3.